VASP calculation (PBE) on NaCo6S8 after structural relaxation.

Cell and atoms, written as POSCAR:
```
NaCo6S8
1.0
6.156 0.054 0.056
-0.138 6.154 0.056
-0.138 -0.142 6.153
Co S Na
6 8 1
direct
0.814 0.600 0.437 Co
0.400 0.563 0.186 Co
0.437 0.814 0.600 Co
0.563 0.186 0.400 Co
0.186 0.400 0.563 Co
0.600 0.437 0.814 Co
0.147 0.722 0.386 S
0.722 0.386 0.147 S
0.278 0.614 0.853 S
0.614 0.853 0.278 S
0.751 0.751 0.751 S
0.853 0.278 0.614 S
0.386 0.147 0.722 S
0.249 0.249 0.249 S
0.000 0.000 0.000 Na
```

total moment	0.00	μB/f.u.
space group	R-3 (148)
uncorrected formation energy	-467	meV/atom
DOS(E_F)	7.8	states/eV/cell

VASP calculation (PBE) on Mg2ScTc after structural relaxation.

Cell and atoms, written as POSCAR:
```
Mg2ScTc
1.0
5.312 0.002 0.008
-2.346 5.136 -0.005
0.620 0.793 2.742
Mg Sc Tc
2 1 1
direct
0.000 0.000 0.000 Mg
0.500 0.000 0.500 Mg
0.000 0.500 0.500 Sc
0.500 0.500 0.000 Tc
```

total moment	0.00	μB/f.u.
space group	C2/m (12)
excess energy over the best structure of this formula in the dataset	136.0	meV/atom
formation energy	3.538	kcal/mol of atoms
DOS(E_F)	2.8	states/eV/cell

- Which of these has the lowest DOS(E_F)?
  Mg2ScTc

- The highest DOS(E_F) belongs to which entry?
  NaCo6S8